Record 1
BaFeSi4O10: optimized geometry, GGA-PBEsol.

Cell lengths 7.6014, 7.6014, 7.9402 Å; angles 90.00, 90.00, 90.00 degrees
Closest atoms and distances in Å follow each position.
Fractional positions:
Ba (0.2500, 0.7500, 0.0000)  12 O 2.86-3.09
Ba (0.7500, 0.2500, 0.0000)  12 O 2.86-3.09
Fe (0.2500, 0.2500, 0.1717)  4 O 1.95
Fe (0.7500, 0.7500, 0.8283)  4 O 1.95
Si (0.0411, 0.0411, 0.6960)  4 O 1.59-1.64
Si (0.0411, 0.4589, 0.6960)  4 O 1.59-1.64
Si (0.4589, 0.0411, 0.6960)  4 O 1.59-1.64
Si (0.4589, 0.4589, 0.6960)  4 O 1.59-1.64
Si (0.5411, 0.5411, 0.3040)  4 O 1.59-1.64
Si (0.5411, 0.9589, 0.3040)  4 O 1.59-1.64
Si (0.9589, 0.5411, 0.3040)  4 O 1.59-1.64
Si (0.9589, 0.9589, 0.3040)  4 O 1.59-1.64
O (0.0000, 0.0000, 0.5000)  2 Si 1.62
O (0.0000, 0.5000, 0.5000)  2 Si 1.62
O (0.0006, 0.2500, 0.7309)  2 Si 1.64
O (0.0682, 0.0682, 0.1683)  1 Si 1.59
O (0.0682, 0.4318, 0.1683)  1 Si 1.59
O (0.2500, 0.0006, 0.7309)  2 Si 1.64
O (0.2500, 0.4994, 0.7309)  2 Si 1.64
O (0.4318, 0.0682, 0.1683)  1 Si 1.59
O (0.4318, 0.4318, 0.1683)  1 Si 1.59
O (0.4994, 0.2500, 0.7309)  2 Si 1.64
O (0.5000, 0.0000, 0.5000)  2 Si 1.62
O (0.5000, 0.5000, 0.5000)  2 Si 1.62
O (0.5006, 0.7500, 0.2691)  2 Si 1.64
O (0.5682, 0.5682, 0.8317)  1 Si 1.59
O (0.5682, 0.9318, 0.8317)  1 Si 1.59
O (0.7500, 0.5006, 0.2691)  2 Si 1.64
O (0.7500, 0.9994, 0.2691)  2 Si 1.64
O (0.9318, 0.5682, 0.8317)  1 Si 1.59
O (0.9318, 0.9318, 0.8317)  1 Si 1.59
O (0.9994, 0.7500, 0.2691)  2 Si 1.64

Summary:
- formation energy from raw total energies (meV/atom) = -2603
- ΔE to the lowest computed polymorph (eV per atom) = 0.010
- space-group type = P4/nmm
- V (Å³ per atom) = 14.337
- energy (eV/atom) = -8.01

Record 2
CaLaCd2: optimized geometry, GGA-PBEsol.

Cell lengths 5.3918, 5.3918, 5.3918 Å; angles 60.00, 60.00, 60.00 degrees
Closest atoms and distances in Å follow each position.
Fractional positions:
Ca (0.0000, 0.0000, 0.0000)  8 Cd 3.30
La (0.5000, 0.5000, 0.5000)  8 Cd 3.30
Cd (0.2500, 0.2500, 0.2500)  4 La 3.30, 4 Ca 3.30
Cd (0.7500, 0.7500, 0.7500)  4 Ca 3.30, 4 La 3.30

Summary:
- ΔE to the lowest computed polymorph (eV per atom) = 0.000
- space-group type = Fm-3m
- V (Å³ per atom) = 27.710
- energy (eV/atom) = -2.84
- E_form (kJ/mol of atoms) = -36

Record 3
Sc7P3: optimized geometry, GGA-PBEsol.

Cell lengths 8.8946, 8.8946, 5.5329 Å; angles 90.00, 90.00, 120.00 degrees
Closest atoms and distances in Å follow each position.
Fractional positions:
Sc (0.0660, 0.5330, 0.0000)  4 P 2.67-2.97, 2 Sc 2.95
Sc (0.1238, 0.2476, 0.2546)  3 P 2.60-2.72
Sc (0.1238, 0.8762, 0.2546)  3 P 2.60-2.72
Sc (0.2476, 0.1238, 0.7546)  3 P 2.60-2.72
Sc (0.3333, 0.6667, 0.4421)  3 P 2.64
Sc (0.4670, 0.5330, 0.0000)  4 P 2.67-2.97, 2 Sc 2.95
Sc (0.4670, 0.9340, 0.0000)  4 P 2.67-2.97, 2 Sc 2.95
Sc (0.5330, 0.0660, 0.5000)  4 P 2.67-2.97, 2 Sc 2.95
Sc (0.5330, 0.4670, 0.5000)  4 P 2.67-2.97, 2 Sc 2.95
Sc (0.6667, 0.3333, 0.9421)  3 P 2.64
Sc (0.7524, 0.8762, 0.2546)  3 P 2.60-2.72
Sc (0.8762, 0.1238, 0.7546)  3 P 2.60-2.72
Sc (0.8762, 0.7524, 0.7546)  3 P 2.60-2.72
Sc (0.9340, 0.4670, 0.5000)  4 P 2.67-2.97, 2 Sc 2.95
P (0.1915, 0.3830, 0.7086)  6 Sc 2.60-2.72
P (0.1915, 0.8085, 0.7086)  6 Sc 2.60-2.72
P (0.3830, 0.1915, 0.2086)  6 Sc 2.60-2.72
P (0.6170, 0.8085, 0.7086)  6 Sc 2.60-2.72
P (0.8085, 0.1915, 0.2086)  6 Sc 2.60-2.72
P (0.8085, 0.6170, 0.2086)  6 Sc 2.60-2.72

Summary:
- space-group type = P6_3mc
- V (Å³ per atom) = 18.954
- energy (eV/atom) = -7.36
- E_form (kJ/mol of atoms) = -97